Record 1
## Na5PdO5 (PBE)

Data for an optimized crystal structure of Na5PdO5.

abc: 10.611 4.575 6.415
angles: 90.00 108.49 90.00
Space group C2/m (No. 12)
Symmetry-distinct sites (fractional):
Na (0.000, 0.000, 0.000) [2 per cell]
Na (0.175, 0.500, 0.357) [4 per cell]
Na (0.188, 0.500, 0.815) [4 per cell]
Pd (0.000, 0.000, 0.500) [2 per cell]
O (0.000, 0.500, 0.500) [2 per cell]
O (0.135, 0.000, 0.344) [4 per cell]
O (0.148, 0.000, 0.798) [4 per cell]

Record 2
## Na2Pd3O8 (PBE)

Data for an optimized crystal structure of Na2Pd3O8.

abc: 11.462 6.178 5.240
angles: 90.00 109.31 90.00
Space group C2/m (No. 12)
Symmetry-distinct sites (fractional):
Na (0.222, 0.000, 0.156) [4 per cell]
Pd (0.000, 0.244, 0.500) [4 per cell]
Pd (0.000, 0.500, 0.000) [2 per cell]
O (0.097, 0.500, 0.407) [4 per cell]
O (0.100, 0.276, 0.890) [8 per cell]
O (0.102, 0.000, 0.449) [4 per cell]

Quick rundown of uncorrected formation energy, same order as above: -1.0238, -0.5997 eV/atom
Quick rundown of total DFT energy (no corrections), same order as above: -4.35, -5.05 eV/atom